# 1
RbCa3Ta, optimized geometry, DFT PBE; formation energy = 0.90 eV/atom; crystal system = cubic; magnetic moment = 0.0249 μB/atom
1.0
-5.7277 -0.5667 -1.5266
-0.0721 -5.4886 2.3082
-1.6268 2.2387 5.2726
Ca Rb Ta
3 1 1
Cartesian
-0.0361 -2.7443 1.1541
-0.8134 1.1194 2.6363
-2.8639 -0.2834 -0.7633
-3.7133 -1.9083 3.0271
0.0000 0.0000 0.0000

***

# 2
RbCaTa3, optimized geometry, DFT PBE; formation energy = 2.81 eV/atom; crystal system = cubic; magnetic moment = 0.0000 μB/atom
1.0
-4.6150 0.7712 -1.6111
-0.2415 -4.6921 -1.5540
-1.7698 -1.3706 4.4134
Ca Rb Ta
1 1 3
Cartesian
-3.3131 -2.6458 0.6241
0.0000 0.0000 0.0000
-0.1208 -2.3460 -0.7770
-0.8849 -0.6853 2.2067
-2.3075 0.3856 -0.8056

***

# 3
RbCa3Ta, optimized geometry, DFT PBE; formation energy = 1.84 eV/atom; crystal system = cubic; magnetic moment = 0.0000 μB/atom
1.0
5.5001 0.0000 0.0000
0.0000 5.5001 0.0000
0.0000 0.0000 5.5001
Ca Rb Ta
3 1 1
Cartesian
0.0000 2.7500 0.0000
0.0000 0.0000 2.7500
2.7500 0.0000 0.0000
0.0000 0.0000 0.0000
2.7500 2.7500 2.7500

***

# 4
RbCa2Ta, optimized geometry, DFT PBE; formation energy = 1.11 eV/atom; crystal system = cubic; magnetic moment = 0.9893 μB/atom
1.0
0.0000 4.1542 4.1542
4.1542 0.0000 4.1542
4.1542 4.1542 0.0000
Ca Rb Ta
2 1 1
Cartesian
2.0771 2.0771 2.0771
6.2313 6.2313 6.2313
0.0000 0.0000 0.0000
4.1542 4.1542 4.1542

***

> Which value of formation energy does entry 2 give?

2.81 eV/atom